(A)
Here is a crystal of LaSc3As relaxed with PBEsol from Alexandria via LeMat-Bulk. Energies are from SCAN.

a = 5.111 Å, b = 5.111 Å, c = 5.111 Å
α = 90.00°, β = 90.00°, γ = 90.00°
Sites, in units of the cell vectors:
Sc 0.500 0.000 0.000
Sc 0.000 0.000 0.500
Sc 0.000 0.500 0.000
As 0.000 0.000 0.000
La 0.500 0.500 0.500

symmetry: Pm-3m
magnetic moment: 2.53 μB/f.u.
D(E_F): 5.59 states/eV/f.u.
calculated volume: 26.7 A^3/atom

---

(B)
Here is a crystal of LaSc3As relaxed with PBEsol from Alexandria via LeMat-Bulk. Energies are from SCAN.

a = 5.054 Å, b = 5.054 Å, c = 5.054 Å
α = 90.00°, β = 90.00°, γ = 90.00°
Sites, in units of the cell vectors:
La 0.000 0.000 0.000
As 0.500 0.500 0.500
Sc 0.000 0.000 0.500
Sc 0.500 0.000 0.000
Sc 0.000 0.500 0.000

symmetry: Pm-3m
magnetic moment: 0.00 μB/f.u.
D(E_F): 4.82 states/eV/f.u.
calculated volume: 25.8 A^3/atom

---

Going by the computed energies, the most stable comes first: (A), (B).

---

(A)
Here is a crystal of SrLaAs2 relaxed with PBEsol from Alexandria via LeMat-Bulk. Energies are from SCAN.

a = 4.355 Å, b = 4.355 Å, c = 6.161 Å
α = 90.00°, β = 90.00°, γ = 90.00°
Sites, in units of the cell vectors:
La 0.000 0.000 0.000
As 0.000 0.000 0.500
Sr 0.500 0.500 0.500
As 0.500 0.500 0.000

symmetry: P4/mmm
magnetic moment: 0.00 μB/f.u.
D(E_F): 4.09 states/eV/f.u.
calculated volume: 29.2 A^3/atom

---

(B)
Here is a crystal of SrLaAs2 relaxed with PBEsol from Alexandria via LeMat-Bulk. Energies are from SCAN.

a = 3.665 Å, b = 3.665 Å, c = 7.926 Å
α = 90.00°, β = 90.00°, γ = 99.06°
Sites, in units of the cell vectors:
Sr 0.500 0.500 0.000
As 0.000 0.000 0.261
As 0.000 0.000 0.739
La 0.500 0.500 0.500

symmetry: Cmmm
magnetic moment: 0.00 μB/f.u.
D(E_F): 2.12 states/eV/f.u.
calculated volume: 26.3 A^3/atom

---

Going by the computed energies, the most stable comes first: (A), (B).

---

(A)
Here is a crystal of LaTl2As relaxed with PBEsol from Alexandria via LeMat-Bulk. Energies are from SCAN.

a = 4.173 Å, b = 5.309 Å, c = 5.693 Å
α = 110.27°, β = 111.50°, γ = 90.00°
Sites, in units of the cell vectors:
Tl 0.008 0.005 0.016
Tl 0.786 0.235 0.572
La 0.214 0.651 0.428
As 0.492 0.609 0.984

symmetry: Cm
magnetic moment: 0.00 μB/f.u.
D(E_F): 1.02 states/eV/f.u.
calculated volume: 27.2 A^3/atom

---

(B)
Here is a crystal of LaTl2As relaxed with PBEsol from Alexandria via LeMat-Bulk. Energies are from SCAN.

a = 4.035 Å, b = 4.619 Å, c = 6.429 Å
α = 111.05°, β = 108.29°, γ = 90.00°
Sites, in units of the cell vectors:
La 0.000 0.500 0.000
As 0.500 0.000 0.000
Tl 0.226 0.226 0.451
Tl 0.774 0.774 0.549

symmetry: Immm
magnetic moment: 0.00 μB/f.u.
D(E_F): 1.50 states/eV/f.u.
calculated volume: 26.3 A^3/atom

---

Going by the computed energies, the most stable comes first: (B), (A).

---

(A)
Here is a crystal of Li3AsO relaxed with PBEsol from Alexandria via LeMat-Bulk. Energies are from SCAN.

a = 4.724 Å, b = 4.724 Å, c = 4.724 Å
α = 90.00°, β = 90.00°, γ = 90.00°
Sites, in units of the cell vectors:
Li 0.000 0.500 0.000
As 0.000 0.000 0.000
Li 0.500 0.000 0.000
O 0.500 0.500 0.500
Li 0.000 0.000 0.500

symmetry: Pm-3m
magnetic moment: 2.00 μB/f.u.
D(E_F): 3.48 states/eV/f.u.
calculated volume: 21.1 A^3/atom

---

(B)
Here is a crystal of Li3AsO relaxed with PBEsol from Alexandria via LeMat-Bulk. Energies are from SCAN.

a = 3.886 Å, b = 3.886 Å, c = 3.886 Å
α = 90.00°, β = 90.00°, γ = 90.00°
Sites, in units of the cell vectors:
Li 0.500 0.000 0.000
Li 0.000 0.000 0.500
O 0.000 0.000 0.000
Li 0.000 0.500 0.000
As 0.500 0.500 0.500

symmetry: Pm-3m
magnetic moment: 0.00 μB/f.u.
D(E_F): 2.41 states/eV/f.u.
calculated volume: 11.7 A^3/atom

---

Going by the computed energies, the most stable comes first: (B), (A).

---

(A)
Here is a crystal of Li3AsO4 relaxed with PBEsol from Alexandria via LeMat-Bulk. Energies are from SCAN.

a = 5.062 Å, b = 6.285 Å, c = 10.786 Å
α = 90.00°, β = 90.00°, γ = 90.00°
Sites, in units of the cell vectors:
O 0.298 0.250 0.063
As 0.313 0.250 0.413
O 0.153 0.750 0.087
Li 0.310 0.996 0.166
Li 0.695 0.250 0.078
O 0.297 0.472 0.837
Li 0.690 0.004 0.834
As 0.187 0.250 0.913
Li 0.810 0.496 0.334
Li 0.305 0.750 0.922
Li 0.805 0.250 0.578
O 0.703 0.972 0.163
Li 0.810 0.004 0.334
O 0.297 0.028 0.837
O 0.702 0.750 0.937
O 0.797 0.528 0.663
As 0.813 0.750 0.087
O 0.202 0.250 0.563
Li 0.190 0.504 0.666
O 0.347 0.750 0.587
Li 0.195 0.750 0.422
O 0.798 0.750 0.437
O 0.653 0.250 0.413
O 0.203 0.472 0.337
Li 0.190 0.996 0.666
Li 0.310 0.504 0.166
O 0.703 0.528 0.163
As 0.687 0.750 0.587
O 0.797 0.972 0.663
Li 0.690 0.496 0.834
O 0.203 0.028 0.337
O 0.847 0.250 0.913

symmetry: Pnma
magnetic moment: 0.00 μB/f.u.
D(E_F): 0.00 states/eV/f.u.
calculated volume: 10.7 A^3/atom

---

(B)
Here is a crystal of Li3AsO4 relaxed with PBEsol from Alexandria via LeMat-Bulk. Energies are from SCAN.

a = 4.951 Å, b = 5.392 Å, c = 6.263 Å
α = 90.00°, β = 90.00°, γ = 90.00°
Sites, in units of the cell vectors:
As 0.997 0.830 0.000
O 0.610 0.321 0.724
O 0.151 0.175 0.500
O 0.110 0.679 0.224
Li 0.505 0.669 0.252
O 0.109 0.131 0.000
Li 0.006 0.835 0.500
Li 0.505 0.669 0.748
O 0.110 0.679 0.776
O 0.610 0.321 0.276
Li 0.005 0.331 0.752
As 0.497 0.170 0.500
O 0.609 0.869 0.500
Li 0.506 0.165 0.000
Li 0.005 0.331 0.248
O 0.651 0.825 0.000

symmetry: Pmn2_1
magnetic moment: 0.00 μB/f.u.
D(E_F): 0.00 states/eV/f.u.
calculated volume: 10.4 A^3/atom

---

Going by the computed energies, the most stable comes first: (B), (A).

---

(A)
Here is a crystal of Li2AsOs relaxed with PBEsol from Alexandria via LeMat-Bulk. Energies are from SCAN.

a = 2.941 Å, b = 2.941 Å, c = 8.741 Å
α = 80.31°, β = 80.31°, γ = 60.00°
Sites, in units of the cell vectors:
As 0.243 0.243 0.272
Os 0.507 0.507 0.479
Li 0.992 0.992 0.025
Li 0.759 0.759 0.724

symmetry: R3m
magnetic moment: 0.00 μB/f.u.
D(E_F): 1.62 states/eV/f.u.
calculated volume: 16.1 A^3/atom

---

(B)
Here is a crystal of Li2AsOs relaxed with PBEsol from Alexandria via LeMat-Bulk. Energies are from SCAN.

a = 3.405 Å, b = 3.908 Å, c = 4.525 Å
α = 115.58°, β = 112.10°, γ = 90.00°
Sites, in units of the cell vectors:
Li 0.741 0.241 0.483
Os 0.499 0.499 0.998
As 0.253 0.753 0.505
Li 0.007 0.007 0.014

symmetry: Imm2
magnetic moment: 0.00 μB/f.u.
D(E_F): 1.03 states/eV/f.u.
calculated volume: 12.3 A^3/atom

---

Going by the computed energies, the most stable comes first: (B), (A).

---

(A)
Here is a crystal of LiAs2Os relaxed with PBEsol from Alexandria via LeMat-Bulk. Energies are from SCAN.

a = 2.990 Å, b = 2.990 Å, c = 6.980 Å
α = 90.00°, β = 90.00°, γ = 90.00°
Sites, in units of the cell vectors:
As 0.000 0.000 0.724
Li 0.500 0.500 0.000
As 0.000 0.000 0.276
Os 0.500 0.500 0.500

symmetry: P4/mmm
magnetic moment: 0.00 μB/f.u.
D(E_F): 2.25 states/eV/f.u.
calculated volume: 15.6 A^3/atom

---

(B)
Here is a crystal of LiAs2Os relaxed with PBEsol from Alexandria via LeMat-Bulk. Energies are from SCAN.

a = 5.939 Å, b = 6.731 Å, c = 5.939 Å
α = 63.82°, β = 90.00°, γ = 116.18°
Sites, in units of the cell vectors:
Os 0.000 0.000 0.000
Os 0.750 0.500 0.750
Li 0.250 0.500 0.250
As 0.375 0.250 0.080
Li 0.500 0.000 0.500
As 0.670 0.750 0.375
As 0.080 0.750 0.875
As 0.875 0.250 0.670

symmetry: I-42d
magnetic moment: 0.00 μB/f.u.
D(E_F): 1.27 states/eV/f.u.
calculated volume: 23.2 A^3/atom

---

Going by the computed energies, the most stable comes first: (A), (B).

---

(A)
Here is a crystal of LiAsP relaxed with PBEsol from Alexandria via LeMat-Bulk. Energies are from SCAN.

a = 2.735 Å, b = 2.735 Å, c = 7.352 Å
α = 90.00°, β = 90.00°, γ = 120.00°
Sites, in units of the cell vectors:
Li 0.333 0.667 0.657
P 0.667 0.333 0.379
As 0.000 0.000 0.964

symmetry: P3m1
magnetic moment: 0.00 μB/f.u.
D(E_F): 1.32 states/eV/f.u.
calculated volume: 15.9 A^3/atom

---

(B)
Here is a crystal of LiAsP relaxed with PBEsol from Alexandria via LeMat-Bulk. Energies are from SCAN.

a = 2.620 Å, b = 4.110 Å, c = 5.434 Å
α = 112.22°, β = 103.95°, γ = 90.00°
Sites, in units of the cell vectors:
P 0.277 0.277 0.554
Li 0.686 0.686 0.372
As 0.037 0.037 0.074

symmetry: Imm2
magnetic moment: 0.00 μB/f.u.
D(E_F): 0.70 states/eV/f.u.
calculated volume: 17.4 A^3/atom

---

Going by the computed energies, the most stable comes first: (B), (A).

---

(A)
Here is a crystal of Li2As2Pb relaxed with PBEsol from Alexandria via LeMat-Bulk. Energies are from SCAN.

a = 4.310 Å, b = 4.310 Å, c = 6.084 Å
α = 110.74°, β = 110.74°, γ = 90.00°
Sites, in units of the cell vectors:
Li 0.250 0.750 0.500
As 0.616 0.616 0.232
Li 0.750 0.250 0.500
Pb 0.000 0.000 0.000
As 0.384 0.384 0.768

symmetry: I4/mmm
magnetic moment: 0.00 μB/f.u.
D(E_F): 0.79 states/eV/f.u.
calculated volume: 19.6 A^3/atom

---

(B)
Here is a crystal of Li2As2Pb relaxed with PBEsol from Alexandria via LeMat-Bulk. Energies are from SCAN.

a = 2.912 Å, b = 8.129 Å, c = 8.129 Å
α = 90.00°, β = 90.00°, γ = 90.00°
Sites, in units of the cell vectors:
As 0.000 0.671 0.171
Li 0.500 0.123 0.623
Li 0.500 0.623 0.877
As 0.000 0.829 0.671
Pb 0.000 0.500 0.500
Pb 0.000 0.000 0.000
Li 0.500 0.377 0.123
Li 0.500 0.877 0.377
As 0.000 0.329 0.829
As 0.000 0.171 0.329

symmetry: P4/mbm
magnetic moment: 0.00 μB/f.u.
D(E_F): 1.30 states/eV/f.u.
calculated volume: 19.2 A^3/atom

---

Going by the computed energies, the most stable comes first: (A), (B).

---

(A)
Here is a crystal of Li2SbAs relaxed with PBEsol from Alexandria via LeMat-Bulk. Energies are from SCAN.

a = 3.097 Å, b = 4.020 Å, c = 5.863 Å
α = 90.00°, β = 90.01°, γ = 90.00°
Sites, in units of the cell vectors:
Li 0.001 0.000 0.273
Li 0.999 0.000 0.727
Sb 0.500 0.500 0.000
As 0.500 0.500 0.500

symmetry: Pmmm
magnetic moment: 0.00 μB/f.u.
D(E_F): 1.21 states/eV/f.u.
calculated volume: 18.3 A^3/atom

---

(B)
Here is a crystal of Li2SbAs relaxed with PBEsol from Alexandria via LeMat-Bulk. Energies are from SCAN.

a = 4.090 Å, b = 4.227 Å, c = 4.227 Å
α = 90.00°, β = 90.00°, γ = 90.00°
Sites, in units of the cell vectors:
Sb 0.500 0.500 0.500
Li 0.000 0.500 0.000
Li 0.000 0.000 0.500
As 0.500 0.000 0.000

symmetry: P4/mmm
magnetic moment: 0.00 μB/f.u.
D(E_F): 0.97 states/eV/f.u.
calculated volume: 18.3 A^3/atom

---

(C)
Here is a crystal of Li2SbAs relaxed with PBEsol from Alexandria via LeMat-Bulk. Energies are from SCAN.

a = 3.049 Å, b = 5.034 Å, c = 5.034 Å
α = 107.50°, β = 90.00°, γ = 90.00°
Sites, in units of the cell vectors:
Li 0.000 0.500 0.000
As 0.500 0.500 0.500
Li 0.000 0.000 0.500
Sb 0.500 0.000 0.000

symmetry: Cmmm
magnetic moment: 0.00 μB/f.u.
D(E_F): 1.20 states/eV/f.u.
calculated volume: 18.4 A^3/atom

---

(D)
Here is a crystal of Li2SbAs relaxed with PBEsol from Alexandria via LeMat-Bulk. Energies are from SCAN.

a = 3.997 Å, b = 3.997 Å, c = 5.408 Å
α = 111.69°, β = 111.69°, γ = 90.00°
Sites, in units of the cell vectors:
As 0.250 0.750 0.500
Sb 0.500 0.500 0.000
Li 0.000 0.000 0.000
Li 0.750 0.250 0.500

symmetry: I-4m2
magnetic moment: 0.00 μB/f.u.
D(E_F): 1.29 states/eV/f.u.
calculated volume: 18.4 A^3/atom

---

Going by the computed energies, the most stable comes first: (B), (A), (C), (D).

---

(A)
Here is a crystal of Li2SbAs2 relaxed with PBEsol from Alexandria via LeMat-Bulk. Energies are from SCAN.

a = 2.908 Å, b = 7.975 Å, c = 7.975 Å
α = 90.00°, β = 90.00°, γ = 90.00°
Sites, in units of the cell vectors:
As 0.000 0.820 0.680
Sb 0.000 0.000 0.000
Li 0.500 0.881 0.381
Sb 0.000 0.500 0.500
Li 0.500 0.381 0.119
As 0.000 0.180 0.320
As 0.000 0.680 0.180
Li 0.500 0.619 0.881
As 0.000 0.320 0.820
Li 0.500 0.119 0.619

symmetry: P4/mbm
magnetic moment: 0.00 μB/f.u.
D(E_F): 2.04 states/eV/f.u.
calculated volume: 18.5 A^3/atom

---

(B)
Here is a crystal of Li2SbAs2 relaxed with PBEsol from Alexandria via LeMat-Bulk. Energies are from SCAN.

a = 4.274 Å, b = 4.274 Å, c = 5.963 Å
α = 111.00°, β = 111.00°, γ = 90.00°
Sites, in units of the cell vectors:
Li 0.750 0.250 0.500
As 0.385 0.385 0.771
As 0.615 0.615 0.229
Sb 0.000 0.000 0.000
Li 0.250 0.750 0.500

symmetry: I4/mmm
magnetic moment: 0.00 μB/f.u.
D(E_F): 1.58 states/eV/f.u.
calculated volume: 18.8 A^3/atom

---

Going by the computed energies, the most stable comes first: (A), (B).

---

(A)
Here is a crystal of LiScAs2 relaxed with PBEsol from Alexandria via LeMat-Bulk. Energies are from SCAN.

a = 4.644 Å, b = 4.644 Å, c = 4.644 Å
α = 60.00°, β = 60.00°, γ = 60.00°
Sites, in units of the cell vectors:
As 0.250 0.250 0.250
Li 0.000 0.000 0.000
Sc 0.500 0.500 0.500
As 0.750 0.750 0.750

symmetry: Fm-3m
magnetic moment: 0.01 μB/f.u.
D(E_F): 3.40 states/eV/f.u.
calculated volume: 17.7 A^3/atom

---

(B)
Here is a crystal of LiScAs2 relaxed with PBEsol from Alexandria via LeMat-Bulk. Energies are from SCAN.

a = 3.773 Å, b = 4.003 Å, c = 5.306 Å
α = 106.22°, β = 110.83°, γ = 90.00°
Sites, in units of the cell vectors:
Sc 0.261 0.832 0.522
As 0.754 0.343 0.508
As 0.978 0.874 0.957
Li 0.507 0.451 0.013

symmetry: Cm
magnetic moment: 0.00 μB/f.u.
D(E_F): 0.75 states/eV/f.u.
calculated volume: 17.9 A^3/atom

---

Going by the computed energies, the most stable comes first: (B), (A).